Entry 1:
Material: TcNi
Method: DFT, GGA-PBE
State: optimized geometry

a = 9.245 Å, b = 9.245 Å, c = 2.540 Å
α = 90.00°, β = 90.00°, γ = 90.00°
Space group I4/m (No. 87)
Unique sites:
Tc: 0.116 0.349 0.000 [8 per cell]
Ni: 0.080 0.840 0.000 [8 per cell]

Values from the calculation:
energy of formation: 0.406 eV/atom

Entry 2:
Material: TcNi
Method: DFT, GGA-PBE
State: optimized geometry

a = 9.536 Å, b = 2.647 Å, c = 6.271 Å
α = 90.00°, β = 104.74°, γ = 90.00°
Space group Cm (No. 8)
Unique sites:
Tc: 0.000 0.000 0.000 [2 per cell]
Tc: 0.046 0.000 0.615 [2 per cell]
Tc: 0.377 0.000 0.278 [2 per cell]
Ni: 0.159 0.500 0.334 [2 per cell]
Ni: 0.220 0.500 0.944 [2 per cell]
Ni: 0.323 0.000 0.671 [2 per cell]

Values from the calculation:
energy of formation: 0.028 eV/atom

Entry 3:
Material: TcNi
Method: DFT, GGA-PBE
State: optimized geometry

a = 3.909 Å, b = 7.452 Å, c = 14.984 Å
α = 90.00°, β = 90.00°, γ = 90.00°
Space group Fddd (No. 70, origin choice 2)
Unique sites:
Tc: 0.125 0.125 0.042 [16 per cell]
Ni: 0.125 0.287 0.625 [16 per cell]

Values from the calculation:
energy of formation: 0.252 eV/atom

no.,excess energy over the best structure of this formula in the dataset (meV per atom)
1,447.7
2,69.8
3,294.0